Bi2Mo3O12 | Alexandria via LeMat-Bulk | GGA+U | optimized geometry; electronic total energy = -6.7105 eV per atom; DOS at the Fermi energy = 0.000 states/eV/cell; total magnetic moment = 0.000 μB per cell
1.0
7.836 0.000 0.000
0.000 11.634 0.000
-4.859 0.000 11.038
Bi Mo O
8 12 48
Direct
0.093 0.132 0.420
0.093 0.368 0.920
0.254 0.633 0.756
0.254 0.867 0.256
0.746 0.133 0.744
0.746 0.367 0.244
0.907 0.632 0.080
0.907 0.868 0.580
0.040 0.612 0.418
0.040 0.888 0.918
0.266 0.136 0.800
0.266 0.364 0.300
0.423 0.650 0.109
0.423 0.850 0.609
0.577 0.150 0.391
0.577 0.350 0.891
0.734 0.636 0.700
0.734 0.864 0.200
0.960 0.112 0.082
0.960 0.388 0.582
0.047 0.208 0.802
0.047 0.292 0.302
0.063 0.052 0.242
0.063 0.448 0.742
0.128 0.210 0.076
0.128 0.290 0.576
0.134 0.548 0.577
0.134 0.952 0.077
0.160 0.064 0.658
0.160 0.436 0.158
0.217 0.694 0.148
0.217 0.806 0.648
0.227 0.702 0.428
0.227 0.798 0.928
0.300 0.563 0.977
0.300 0.937 0.477
0.309 0.029 0.907
0.309 0.471 0.407
0.373 0.209 0.424
0.373 0.291 0.924
0.462 0.046 0.282
0.462 0.454 0.782
0.494 0.189 0.794
0.494 0.311 0.294
0.506 0.689 0.706
0.506 0.811 0.206
0.538 0.546 0.218
0.538 0.954 0.718
0.627 0.709 0.076
0.627 0.791 0.576
0.691 0.529 0.593
0.691 0.971 0.093
0.700 0.063 0.523
0.700 0.437 0.023
0.773 0.202 0.072
0.773 0.298 0.572
0.783 0.194 0.352
0.783 0.306 0.852
0.840 0.564 0.842
0.840 0.936 0.342
0.866 0.048 0.923
0.866 0.452 0.423
0.872 0.710 0.424
0.872 0.790 0.924
0.937 0.552 0.258
0.937 0.948 0.758
0.953 0.708 0.698
0.953 0.792 0.198